Arrangement w

# YHg2I GGA-PBE optimized geometry
# * DOS(E_F): 4.83 states/eV per cell
# * crystal system: monoclinic
data_YHg2I
_cell_length_a 11.166
_cell_length_b 3.921
_cell_length_c 5.905
_cell_angle_alpha 90.00
_cell_angle_beta 114.60
_cell_angle_gamma 90.00
_symmetry_space_group_name_H-M 'C 1 m 1'
_symmetry_Int_Tables_number 8
_symmetry_space_group_name_Hall 'C -2y'
loop_
_atom_site_label
_atom_site_type_symbol
_atom_site_fract_x
_atom_site_fract_y
_atom_site_fract_z
Y1 Y 0.000 0.000 0.000
Hg1 Hg 0.019 0.500 0.426
Hg2 Hg 0.276 0.000 0.586
I1 I 0.223 0.500 0.040

---

Arrangement x

# YHg2I GGA-PBE optimized geometry
# * DOS(E_F): 2.51 states/eV per cell
# * crystal system: orthorhombic
data_YHg2I
_cell_length_a 4.703
_cell_length_b 4.741
_cell_length_c 9.904
_cell_angle_alpha 90.00
_cell_angle_beta 90.00
_cell_angle_gamma 90.00
_symmetry_space_group_name_H-M 'I m m 2'
_symmetry_Int_Tables_number 44
_symmetry_space_group_name_Hall 'I 2 -2'
loop_
_atom_site_label
_atom_site_type_symbol
_atom_site_fract_x
_atom_site_fract_y
_atom_site_fract_z
Y1 Y 0.000 0.000 0.000
Hg1 Hg 0.000 0.000 0.500
Hg2 Hg 0.000 0.500 0.250
I1 I 0.000 0.500 0.750

---

Most stable structure - arrangement w; separation to the second - 62 meV per atom.